No. 1
Material: TmPuSnAu
Method: DFT, PBE
State: relaxed

Cell: 5.221 5.221 5.221 Å, 60.00 60.00 60.00°
Each line ends with the local moment (μB).
Positions (direct):
1 Tm 0.500 0.500 0.500  0.25
2 Au 0.750 0.750 0.750  0.04
3 Sn 0.250 0.250 0.250  -0.05
4 Pu 0.000 0.000 0.000  5.45

Properties
calculated density: 12.0 g cm⁻³
formation energy from the elements: -0.519 eV/atom
DOS(E_F): 10.591 states/eV per cell


No. 2
Material: PuZnSnAu
Method: DFT, PBE
State: relaxed

Cell: 4.971 4.971 4.971 Å, 60.00 60.00 60.00°
Each line ends with the local moment (μB).
Positions (direct):
1 Zn 0.000 0.000 0.000  0.02
2 Au 0.500 0.500 0.500  0.00
3 Sn 0.750 0.750 0.750  -0.03
4 Pu 0.250 0.250 0.250  5.31

Properties
calculated density: 11.9 g cm⁻³
formation energy from the elements: -0.308 eV/atom
DOS(E_F): 12.257 states/eV per cell


No. 3
Material: PuZn2SnAu5
Method: DFT, PBE
State: relaxed

Cell: 4.893 4.893 7.834 Å, 90.00 90.00 90.00°
Each line ends with the local moment (μB).
Positions (direct):
1 Pu 0.000 0.000 0.500  5.28
2 Zn 0.500 0.500 0.155  0.00
3 Zn 0.500 0.500 0.845  0.00
4 Sn 0.000 0.000 0.000  0.03
5 Au 0.000 0.500 0.260  0.01
6 Au 0.500 0.000 0.260  0.01
7 Au 0.000 0.500 0.740  0.01
8 Au 0.500 0.000 0.740  0.01
9 Au 0.500 0.500 0.500  0.02

Properties
calculated density: 13.1 g cm⁻³
formation energy from the elements: -0.155 eV/atom
DOS(E_F): 18.720 states/eV per cell


No. 4
Material: Pu2Zn4SnAu3
Method: DFT, PBE
State: relaxed

Cell: 4.230 4.230 11.661 Å, 90.00 90.00 90.00°
Each line ends with the local moment (μB).
Positions (direct):
1 Pu 0.500 0.000 0.243  5.38
2 Pu 0.000 0.500 0.757  5.38
3 Zn 0.500 0.500 0.000  0.00
4 Zn 0.000 0.000 0.000  0.00
5 Zn 0.500 0.000 0.645  0.00
6 Zn 0.000 0.500 0.355  0.00
7 Sn 0.500 0.500 0.500  -0.04
8 Au 0.000 0.000 0.500  -0.01
9 Au 0.500 0.000 0.862  0.00
10 Au 0.000 0.500 0.138  0.00

Properties
calculated density: 11.6 g cm⁻³
formation energy from the elements: -0.282 eV/atom
DOS(E_F): 29.975 states/eV per cell


No. 5
Material: Pu2Zn3SnAu4
Method: DFT, PBE
State: relaxed

Cell: 4.275 4.275 11.627 Å, 90.00 90.00 90.00°
Each line ends with the local moment (μB).
Positions (direct):
1 Pu 0.500 0.000 0.239  5.39
2 Pu 0.000 0.500 0.761  5.39
3 Zn 0.000 0.000 0.500  -0.01
4 Zn 0.500 0.000 0.868  0.01
5 Zn 0.000 0.500 0.132  0.01
6 Sn 0.500 0.500 0.500  -0.03
7 Au 0.500 0.500 0.000  0.02
8 Au 0.000 0.000 0.000  0.02
9 Au 0.500 0.000 0.652  -0.01
10 Au 0.000 0.500 0.348  -0.01

Properties
calculated density: 12.4 g cm⁻³
formation energy from the elements: -0.305 eV/atom
DOS(E_F): 28.856 states/eV per cell


No. 6
Material: SrPuAu4
Method: DFT, PBE
State: relaxed

Cell: 5.774 5.774 5.774 Å, 60.00 60.00 60.00°
Each line ends with the local moment (μB).
Positions (direct):
1 Sr 0.000 0.000 0.000  0.07
2 Au 0.625 0.625 0.125  0.05
3 Au 0.625 0.125 0.625  0.05
4 Au 0.625 0.625 0.625  0.05
5 Au 0.125 0.625 0.625  0.05
6 Pu 0.250 0.250 0.250  5.61

Properties
calculated density: 13.7 g cm⁻³
formation energy from the elements: -0.378 eV/atom
DOS(E_F): 17.858 states/eV per cell


No. 7
Material: Sr2PuAu
Method: DFT, PBE
State: relaxed

Cell: 3.966 3.966 11.837 Å, 80.36 80.36 60.00°
Each line ends with the local moment (μB).
Positions (direct):
1 Sr 0.107 0.107 0.680  0.02
2 Sr 0.893 0.893 0.320  0.02
3 Au 0.500 0.500 0.500  0.01
4 Pu 0.000 0.000 0.000  5.89

Properties
calculated density: 6.5 g cm⁻³
formation energy from the elements: 0.110 eV/atom
DOS(E_F): 13.972 states/eV per cell


No. 8
Material: SrPu3Au4
Method: DFT, PBE
State: relaxed

Cell: 5.331 7.052 10.664 Å, 89.99 90.00 90.00°
Each line ends with the local moment (μB).
Positions (direct):
1 Sr 0.000 0.500 0.000  -0.03
2 Sr 0.000 0.500 0.500  -0.03
3 Au 0.500 0.767 0.000  0.01
4 Au 0.500 0.767 0.500  0.01
5 Au 0.500 0.233 0.000  0.01
6 Au 0.500 0.233 0.500  0.01
7 Au 0.000 0.767 0.750  0.01
8 Au 0.000 0.767 0.250  0.01
9 Au 0.000 0.233 0.250  0.01
10 Au 0.000 0.233 0.750  0.01
11 Pu 0.000 0.000 0.000  -5.41
12 Pu 0.000 0.000 0.500  -5.41
13 Pu 0.500 0.000 0.750  5.39
14 Pu 0.500 0.000 0.250  5.39
15 Pu 0.500 0.500 0.750  5.52
16 Pu 0.500 0.500 0.250  5.52

Properties
calculated density: 13.3 g cm⁻³
formation energy from the elements: -0.444 eV/atom
DOS(E_F): 70.649 states/eV per cell


No. 9
Material: SrPu2Au6
Method: DFT, PBE
State: relaxed

Cell: 3.336 8.431 8.433 Å, 119.99 89.99 90.00°
Each line ends with the local moment (μB).
Positions (direct):
1 Sr 0.000 0.000 0.000  0.01
2 Pu 0.000 0.333 0.667  5.45
3 Pu 0.000 0.667 0.333  5.45
4 Au 0.501 0.335 0.335  0.01
5 Au 0.499 0.665 0.665  0.01
6 Au 0.499 0.000 0.665  0.01
7 Au 0.500 0.665 0.000  0.01
8 Au 0.500 0.335 0.000  0.01
9 Au 0.501 0.000 0.335  0.01

Properties
calculated density: 14.2 g cm⁻³
formation energy from the elements: -0.532 eV/atom
DOS(E_F): 23.395 states/eV per cell


No. 10
Material: Sr3PuAu4
Method: DFT, PBE
State: relaxed

Cell: 3.778 3.778 15.286 Å, 90.00 90.00 90.00°
Each line ends with the local moment (μB).
Positions (direct):
1 Sr 0.500 0.500 0.245  0.01
2 Sr 0.500 0.500 0.500  0.00
3 Sr 0.500 0.500 0.755  0.01
4 Au 0.000 0.000 0.891  0.03
5 Au 0.000 0.000 0.109  0.03
6 Au 0.000 0.000 0.373  0.00
7 Au 0.000 0.000 0.627  0.00
8 Pu 0.500 0.500 0.000  5.40

Properties
calculated density: 9.9 g cm⁻³
formation energy from the elements: -0.640 eV/atom
DOS(E_F): 15.180 states/eV per cell


No. 11
Material: SrPuAu3
Method: DFT, PBE
State: relaxed

Cell: 3.881 4.631 14.490 Å, 90.00 97.70 90.00°
Each line ends with the local moment (μB).
Positions (direct):
1 Sr 0.927 0.750 0.853  0.01
2 Sr 0.073 0.250 0.147  0.01
3 Pu 0.209 0.750 0.417  5.41
4 Pu 0.791 0.250 0.583  5.41
5 Au 0.624 0.750 0.247  0.01
6 Au 0.376 0.250 0.753  0.01
7 Au 0.527 0.750 0.053  0.01
8 Au 0.473 0.250 0.947  0.01
9 Au 0.684 0.250 0.369  0.03
10 Au 0.316 0.750 0.631  0.03

Properties
calculated density: 11.9 g cm⁻³
formation energy from the elements: -0.592 eV/atom
DOS(E_F): 26.272 states/eV per cell


No. 12
Material: SrPuAu10
Method: DFT, PBE
State: relaxed

Cell: 4.683 5.627 9.840 Å, 90.00 90.00 90.00°
Each line ends with the local moment (μB).
Positions (direct):
1 Sr 0.000 0.500 0.500  0.01
2 Pu 0.000 0.000 0.000  5.50
3 Au 0.000 0.000 0.329  0.01
4 Au 0.000 0.500 0.838  0.02
5 Au 0.000 0.500 0.162  0.02
6 Au 0.000 0.000 0.671  0.01
7 Au 0.500 0.000 0.500  0.01
8 Au 0.500 0.500 0.000  0.02
9 Au 0.500 0.248 0.247  0.02
10 Au 0.500 0.752 0.753  0.02
11 Au 0.500 0.752 0.247  0.02
12 Au 0.500 0.248 0.753  0.02

Properties
calculated density: 14.7 g cm⁻³
formation energy from the elements: -0.330 eV/atom
DOS(E_F): 22.121 states/eV per cell


No. 13
Material: SrPu4Au5
Method: DFT, PBE
State: relaxed

Cell: 3.628 3.628 18.885 Å, 90.00 90.00 90.00°
Each line ends with the local moment (μB).
Positions (direct):
1 Sr 0.000 0.000 0.000  -0.02
2 Pu 0.000 0.000 0.206  -5.39
3 Pu 0.000 0.000 0.403  5.41
4 Pu 0.000 0.000 0.597  5.41
5 Pu 0.000 0.000 0.794  -5.39
6 Au 0.500 0.500 0.111  -0.04
7 Au 0.500 0.500 0.304  0.00
8 Au 0.500 0.500 0.500  0.05
9 Au 0.500 0.500 0.696  0.00
10 Au 0.500 0.500 0.889  -0.04

Properties
calculated density: 13.7 g cm⁻³
formation energy from the elements: -0.452 eV/atom
DOS(E_F): 39.770 states/eV per cell


No. 14
Material: Sr2PuAu6
Method: DFT, PBE
State: relaxed

Cell: 3.694 8.337 8.337 Å, 120.00 90.00 90.00°
Each line ends with the local moment (μB).
Positions (direct):
1 Sr 0.000 0.333 0.667  -0.01
2 Sr 0.000 0.667 0.333  -0.01
3 Pu 0.000 0.000 0.000  -5.43
4 Au 0.500 0.331 0.331  0.00
5 Au 0.500 0.669 0.669  0.00
6 Au 0.500 0.000 0.669  0.00
7 Au 0.500 0.669 0.000  0.00
8 Au 0.500 0.331 0.000  0.00
9 Au 0.500 0.000 0.331  0.00

Properties
calculated density: 12.0 g cm⁻³
formation energy from the elements: -0.620 eV/atom
DOS(E_F): 16.697 states/eV per cell


No. 15
Material: SrPuTe3Au
Method: DFT, PBE
State: relaxed

Cell: 4.444 8.932 10.027 Å, 104.17 90.00 90.00°
Each line ends with the local moment (μB).
Positions (direct):
1 Sr 0.250 0.193 0.256  -0.01
2 Sr 0.750 0.807 0.744  -0.01
3 Pu 0.250 0.676 0.163  5.22
4 Pu 0.750 0.324 0.837  5.22
5 Te 0.750 0.912 0.134  -0.07
6 Te 0.250 0.088 0.866  -0.07
7 Te 0.250 0.739 0.480  -0.06
8 Te 0.750 0.261 0.520  -0.06
9 Te 0.750 0.430 0.160  -0.10
10 Te 0.250 0.570 0.840  -0.10
11 Au 0.250 0.090 0.584  -0.03
12 Au 0.750 0.910 0.416  -0.03

Properties
calculated density: 7.8 g cm⁻³
formation energy without anion corrections: -6.0 eV/f.u.
DOS(E_F): 27.592 states/eV per cell


No. 16
Material: TbPu2Au4
Method: DFT, PBE
State: relaxed

Cell: 5.017 5.017 7.860 Å, 108.61 108.61 90.00°
Each line ends with the local moment (μB).
Positions (direct):
1 Tb 0.000 0.000 0.000  0.17
2 Pu 0.738 0.738 0.475  5.47
3 Pu 0.262 0.262 0.525  5.47
4 Au 0.386 0.886 0.771  0.05
5 Au 0.886 0.386 0.771  0.05
6 Au 0.614 0.114 0.229  0.05
7 Au 0.114 0.614 0.229  0.05

Properties
calculated density: 13.5 g cm⁻³
formation energy from the elements: -0.418 eV/atom
DOS(E_F): 22.787 states/eV per cell


No. 17
Material: Tb2PuAu4
Method: DFT, PBE
State: relaxed

Cell: 5.178 5.178 6.536 Å, 90.00 90.00 90.00°
Each line ends with the local moment (μB).
Positions (direct):
1 Tb 0.000 0.000 0.000  0.04
2 Tb 0.500 0.500 0.500  0.18
3 Pu 0.500 0.500 0.000  5.39
4 Au 0.500 0.000 0.258  0.03
5 Au 0.000 0.500 0.742  0.03
6 Au 0.500 0.000 0.742  0.03
7 Au 0.000 0.500 0.258  0.03

Properties
calculated density: 12.8 g cm⁻³
formation energy from the elements: -0.530 eV/atom
DOS(E_F): 12.129 states/eV per cell


No. 18
Material: TbPu2Au3
Method: DFT, PBE
State: relaxed

Cell: 3.555 3.555 11.349 Å, 90.00 90.00 90.00°
Each line ends with the local moment (μB).
Positions (direct):
1 Tb 0.500 0.500 0.500  0.00
2 Pu 0.500 0.500 0.831  5.44
3 Pu 0.500 0.500 0.169  5.44
4 Au 0.000 0.000 0.000  0.04
5 Au 0.000 0.000 0.655  0.01
6 Au 0.000 0.000 0.345  0.01

Properties
calculated density: 14.3 g cm⁻³
formation energy from the elements: -0.546 eV/atom
DOS(E_F): 19.399 states/eV per cell


No. 19
Material: TbPu2Au
Method: DFT, PBE
State: relaxed

Cell: 5.355 4.316 4.316 Å, 90.00 90.00 90.00°
Each line ends with the local moment (μB).
Positions (direct):
1 Tb 0.500 0.500 0.500  0.25
2 Au 0.500 0.000 0.000  0.05
3 Pu 0.000 0.000 0.500  5.74
4 Pu 0.000 0.500 0.000  5.74

Properties
calculated density: 14.0 g cm⁻³
formation energy from the elements: -0.192 eV/atom
DOS(E_F): 10.107 states/eV per cell
ΔE to the lowest computed polymorph: 0 meV per atom


No. 20
Material: TbPuAu2
Method: DFT, PBE
State: relaxed

Cell: 4.108 4.108 7.748 Å, 74.63 74.63 60.00°
Each line ends with the local moment (μB).
Positions (direct):
1 Tb 0.000 0.000 0.000  0.10
2 Au 0.747 0.747 0.758  0.03
3 Au 0.253 0.253 0.242  0.03
4 Pu 0.500 0.500 0.500  5.40

Properties
calculated density: 12.3 g cm⁻³
formation energy from the elements: -0.470 eV/atom
DOS(E_F): 15.888 states/eV per cell
ΔE to the lowest computed polymorph: 158 meV per atom


In order of appearance, electronic total energy = -28.16 -24.12 -38.67 -50.42 -52.65 -31.39 -20.53 -122.68 -54.80 -37.61 -57.61 -52.75 -79.91 -42.94 -69.52 -49.33 -40.41 -46.40 -37.34 -27.39 eV per cell.